Compound: Zr5Sc4
Source: Alexandria
Functional: PBE-GGA
Structure: relaxed

Fermi-level density of states = 13.2 states/eV/f.u.
Total DFT energy (no corrections) = -0.554 Ry per atom
V = 23.4 A^3/atom
Formation energy from the elements = 0.0228 eV per atom
Energy relative to the lowest polymorph listed for this composition = 7 meV per atom

a b c (Å): 9.659 9.659 4.518
angles (deg): 90.00 90.00 90.00
Space group I4/mmm (No. 139)
Asymmetric unit:
Zr  0.000  0.000  0.000 [2 per cell]
Zr  0.000  0.337  0.000 [8 per cell]
Sc  0.167  0.167  0.500 [8 per cell]



Compound: ScTi3Be
Source: Alexandria
Functional: PBE-GGA
Structure: relaxed

Fermi-level density of states = 7.5 states/eV/f.u.
Total DFT energy (no corrections) = -0.468 Ry per atom
V = 18.4 A^3/atom
Formation energy from the elements = 0.3839 eV per atom
Energy relative to the lowest polymorph listed for this composition = 0 meV per atom

a b c (Å): 4.516 4.516 4.516
angles (deg): 90.00 90.00 90.00
Space group Pm-3m (No. 221)
Asymmetric unit:
Sc  0.000  0.000  0.000 [1 per cell]
Ti  0.000  0.500  0.500 [3 per cell]
Be  0.500  0.500  0.500 [1 per cell]